(1)
DyHo3Mg2 after structural relaxation, computed with PBE.

abc: 5.4461 8.7740 8.7740
angles: 23.98 90.00 90.00
Closest atoms and distances in Å follow each position.
Sites, in units of the cell vectors:
1 Dy 0.0000 0.0936 0.0936  6 Mg 3.28-3.31, 4 Ho 3.55-3.59, 2 Dy 3.65
2 Ho 0.5000 0.2266 0.2266  2 Mg 3.32, 8 Ho 3.38-3.65, 2 Dy 3.55
3 Ho 0.0000 0.7737 0.7737  2 Mg 3.31, 8 Ho 3.38-3.65, 2 Dy 3.59
4 Ho 0.5000 0.9063 0.9063  6 Mg 3.28-3.31, 6 Ho 3.55-3.65
5 Mg 0.0000 0.4347 0.4347  2 Dy 3.28, 6 Ho 3.31, 4 Mg 3.52-3.65
6 Mg 0.5000 0.5651 0.5651  4 Ho 3.28-3.32, 4 Dy 3.31, 4 Mg 3.52-3.65

Summary:
* SG: Amm2, No. 38
* total magnetization: 0.02 μB per cell
* electronic total energy: -3.630 eV/atom
* crystal system: orthorhombic

=====

(2)
DyHoMg after structural relaxation, computed with PBE.

abc: 8.7806 8.7806 5.4495
angles: 90.00 90.00 156.02
Closest atoms and distances in Å follow each position.
Sites, in units of the cell vectors:
1 Dy 0.7263 0.2737 0.2500  2 Mg 3.32, 6 Dy 3.38-3.65, 4 Ho 3.55-3.59
2 Dy 0.2737 0.7263 0.7500  2 Mg 3.32, 6 Dy 3.38-3.65, 4 Ho 3.55-3.59
3 Ho 0.4065 0.5935 0.2500  6 Mg 3.28-3.32, 4 Dy 3.55-3.59, 2 Ho 3.65
4 Ho 0.5935 0.4065 0.7500  6 Mg 3.28-3.32, 4 Dy 3.55-3.59, 2 Ho 3.65
5 Mg 0.0650 0.9350 0.2500  6 Ho 3.28-3.32, 2 Dy 3.32, 4 Mg 3.52-3.65
6 Mg 0.9350 0.0650 0.7500  6 Ho 3.28-3.32, 2 Dy 3.32, 4 Mg 3.52-3.65

Summary:
* SG: Cmcm, No. 63
* total magnetization: 0.01 μB per cell
* electronic total energy: -3.633 eV/atom
* crystal system: orthorhombic

=====

(3)
DyHoMg2Sn2 after structural relaxation, computed with PBE.

abc: 8.5156 8.5156 8.5156
angles: 150.16 150.16 42.71
Closest atoms and distances in Å follow each position.
Sites, in units of the cell vectors:
1 Dy 0.6669 0.6669 0.0000  5 Sn 3.13-3.14, 4 Mg 3.44
2 Ho 0.3332 0.3332 0.0000  5 Sn 3.13-3.14, 4 Mg 3.44
3 Mg 0.5000 0.0000 0.5000  4 Sn 3.07-3.08, 4 Mg 3.10, 2 Ho 3.44, 2 Dy 3.44
4 Mg 0.0000 0.5000 0.5000  4 Sn 3.07-3.08, 4 Mg 3.10, 2 Ho 3.44, 2 Dy 3.44
5 Sn 0.1360 0.1360 0.0000  4 Mg 3.08, 1 Ho 3.13, 4 Dy 3.14
6 Sn 0.8641 0.8641 0.0000  4 Mg 3.07, 1 Dy 3.13, 4 Ho 3.14

Summary:
* SG: I4mm, No. 107
* total magnetization: 0.01 μB per cell
* electronic total energy: -3.948 eV/atom
* crystal system: tetragonal

=====

(4)
DyHo2Mg3Tl2Zn after structural relaxation, computed with PBE.

abc: 4.5338 7.4942 7.4942
angles: 120.10 90.00 90.00
Closest atoms and distances in Å follow each position.
Sites, in units of the cell vectors:
1 Dy 0.0000 0.5832 0.5832  1 Zn 3.12, 4 Tl 3.20, 2 Mg 3.45
2 Ho 0.0000 0.9998 0.4162  1 Zn 3.12, 4 Tl 3.19, 2 Mg 3.46
3 Ho 0.0000 0.4162 0.9998  1 Zn 3.12, 4 Tl 3.19, 2 Mg 3.46
4 Mg 0.5000 0.7652 0.0000  2 Zn 2.87, 2 Tl 2.93-2.94, 2 Mg 3.05
5 Mg 0.5000 0.2351 0.2351  2 Zn 2.87, 2 Tl 2.94, 2 Mg 3.05
6 Mg 0.5000 0.0000 0.7652  2 Zn 2.87, 2 Tl 2.93-2.94, 2 Mg 3.05
7 Tl 0.5000 0.6668 0.3327  3 Mg 2.93-2.94, 4 Ho 3.19, 2 Dy 3.20
8 Tl 0.5000 0.3327 0.6668  3 Mg 2.93-2.94, 4 Ho 3.19, 2 Dy 3.20
9 Zn 0.0000 0.0008 0.0008  6 Mg 2.87, 2 Ho 3.12, 1 Dy 3.12

Summary:
* SG: Amm2, No. 38
* total magnetization: 0.00 μB per cell
* electronic total energy: -3.024 eV/atom
* crystal system: orthorhombic